GGA+U KLuW2O8, optimized geometry; E = -7.422 eV/atom; Fermi-level density of states = 0.00 states/eV/cell; space group = C2/c, No. 15; mass density = 7.26 Mg/m³
1.0
5.5117 -5.2422 0.0000
5.5117 5.2422 0.0000
-4.8410 0.0000 5.6169
K Lu W O
2 2 4 16
Direct
0.2096 0.7904 0.7500
0.7904 0.2096 0.2500
0.2231 0.7769 0.2500
0.7769 0.2231 0.7500
0.2987 0.3072 0.2906
0.3072 0.2987 0.7906
0.6928 0.7013 0.2094
0.7013 0.6928 0.7094
0.0366 0.2408 0.6979
0.0483 0.3474 0.1135
0.2408 0.0366 0.1979
0.2459 0.3775 0.5587
0.3474 0.0483 0.6135
0.3744 0.6003 0.0427
0.3775 0.2459 0.0587
0.3997 0.6256 0.4573
0.6003 0.3744 0.5427
0.6225 0.7541 0.9413
0.6256 0.3997 0.9573
0.6526 0.9517 0.3865
0.7541 0.6225 0.4413
0.7592 0.9634 0.8021
0.9517 0.6526 0.8865
0.9634 0.7592 0.3021